Entry 1:
Entry from Alexandria via LeMat-Bulk: crystalline UTl3Ni2O6 at its relaxed geometry (GGA+U).

Structure (POSCAR):
```
UTl3Ni2O6
1.0
-1.950 -1.149 5.053
3.199 -3.672 -2.634
5.227 4.531 2.014
U Tl Ni O
1 3 2 6
Direct
0.000 0.000 0.000
0.168 0.832 0.500
0.832 0.168 0.500
0.500 0.500 0.500
0.333 0.667 0.000
0.667 0.333 0.000
0.948 0.618 0.846
0.723 0.723 0.154
0.052 0.382 0.154
0.618 0.948 0.846
0.277 0.277 0.846
0.382 0.052 0.154
```

Values from the calculation:
DFT total energy = -71.12 eV for the cell shown
Total magnetization = 4.08 μB/cell



Entry 2:
Entry from Alexandria via LeMat-Bulk: crystalline U3Tl4NiO12 at its relaxed geometry (GGA+U).

Structure (POSCAR):
```
U3Tl4NiO12
1.0
-1.041 7.370 0.179
-5.967 -3.277 -3.017
0.986 -2.536 6.931
U Tl Ni O
3 4 1 12
Direct
0.500 0.000 0.500
0.500 0.500 0.000
0.000 0.500 0.500
0.500 0.500 0.500
0.000 0.000 0.500
0.500 0.000 0.000
0.000 0.500 0.000
0.000 0.000 0.000
0.250 0.500 0.750
0.733 0.000 0.733
0.267 0.000 0.267
0.750 0.500 0.250
0.733 0.733 0.000
0.267 0.267 0.000
0.750 0.250 0.500
0.250 0.750 0.500
0.500 0.250 0.750
0.000 0.733 0.733
0.500 0.750 0.250
0.000 0.267 0.267
```

Values from the calculation:
DFT total energy = -148.96 eV for the cell shown
Total magnetization = 2.00 μB/cell



Entry 3:
Entry from Alexandria via LeMat-Bulk: crystalline UTlNi2O5 at its relaxed geometry (GGA+U).

Structure (POSCAR):
```
UTlNi2O5
1.0
-2.834 3.068 2.276
-3.919 -0.314 -4.458
1.221 -4.961 3.238
U Tl Ni O
1 1 2 5
Direct
0.500 0.000 0.000
0.000 0.500 0.000
0.222 0.222 0.444
0.778 0.778 0.556
0.653 0.914 0.307
0.347 0.086 0.693
0.347 0.607 0.693
0.653 0.393 0.307
0.000 0.000 0.000
```

Values from the calculation:
DFT total energy = -57.77 eV for the cell shown
Total magnetization = 3.00 μB/cell



What is the formula in the first record?
UTl3Ni2O6